# PBE+U ReMoO2F, optimized geometry
data_ReMoO2F
_chemical_formula_sum 'Re1 Mo1 O2 F1'
_space_group_name_H-M_alt 'P 4/m m m'
_space_group_IT_number 123
_space_group_name_Hall '-P 4 2'
_cell_length_a 3.807
_cell_length_b 3.807
_cell_length_c 4.998
_cell_angle_alpha 90.00
_cell_angle_beta 90.00
_cell_angle_gamma 90.00
loop_
_atom_site_label
_atom_site_type_symbol
_atom_site_fract_x
_atom_site_fract_y
_atom_site_fract_z
Re1 Re 0.000 0.000 0.000
Mo1 Mo 0.500 0.500 0.500
O1 O 0.000 0.500 0.000
F1 F 0.000 0.000 0.500
# crystal system = tetragonal
# E = -0.2560 hartree per atom